A relaxed TbPm2Pd crystal, computed with PBE.

a = 3.8379 Å, b = 3.8379 Å, c = 9.8062 Å
α = 78.72°, β = 78.72°, γ = 60.00°
Closest atoms and distances in Å follow each position.
Element x y z (fractional)
Tb (0.5000, 0.5000, 0.4999)  6 Pm 3.64, 6 Tb 3.84
Pm (0.0659, 0.0659, 0.8024)  3 Pd 2.91
Pm (0.2674, 0.2674, 0.1977)  3 Pd 2.91
Pd (0.6666, 0.6666, 0.0001)  6 Pm 2.91

- space group = R3m
- distance to the lowest polymorph of the same formula (meV/atom) = 180
- crystal system = trigonal